The following is a GGA-PBE calculation of ZnCuNi3 after structural relaxation, from the Alexandria database.

## Properties
* symmetry: No. 176
* ΔE_f: 0.38 eV/atom

The structure in extended XYZ format:
```
10
Lattice="5.999 0.000 0.000 -3.000 5.195 0.000 0.000 0.000 4.202" Properties=species:S:1:pos:R:3 pbc="T T T"
Zn 0.000 3.464 1.051
Zn 3.000 1.732 3.152
Cu 0.000 0.000 1.051
Cu 0.000 0.000 3.152
Ni -1.404 3.520 3.152
Ni 0.653 2.220 3.152
Ni 2.249 0.544 1.051
Ni 0.751 4.651 3.152
Ni 2.346 2.976 1.051
Ni 4.403 1.675 1.051
```

The following is a GGA-PBE calculation of ZnCuNi5 after structural relaxation, from the Alexandria database.

## Properties
* symmetry: No. 65
* ΔE_f: 0.12 eV/atom

The structure in extended XYZ format:
```
7
Lattice="2.471 -3.573 0.000 2.471 3.573 0.000 0.000 0.000 4.891" Properties=species:S:1:pos:R:3 pbc="T T T"
Zn 0.000 0.000 0.000
Cu 2.471 0.000 2.446
Ni 1.236 1.786 1.247
Ni 1.236 1.786 3.644
Ni 1.236 -1.786 1.247
Ni 1.236 -1.786 3.644
Ni 2.471 0.000 0.000
```

The following is a GGA-PBE calculation of Zn2CuNi8 after structural relaxation, from the Alexandria database.

## Properties
* symmetry: No. 71
* ΔE_f: 0.04 eV/atom

The structure in extended XYZ format:
```
11
Lattice="-1.760 3.695 5.080 1.760 -3.695 5.080 1.760 3.695 -5.080" Properties=species:S:1:pos:R:3 pbc="T T T"
Zn 0.000 0.000 1.462
Zn 0.000 0.000 8.698
Cu 0.000 0.000 5.080
Ni 1.760 1.896 -1.701
Ni 0.000 1.979 0.000
Ni 1.760 0.000 3.298
Ni 1.760 1.896 1.701
Ni 0.000 1.799 3.379
Ni 0.000 3.695 1.782
Ni 0.000 5.412 0.000
Ni 0.000 1.799 6.781
```

The following is a GGA-PBE calculation of Zn2CuNi after structural relaxation, from the Alexandria database.

## Properties
* symmetry: No. 8
* ΔE_f: -0.13 eV/atom

The structure in extended XYZ format:
```
4
Lattice="4.442 -1.334 0.000 4.442 1.334 0.000 -1.013 0.000 4.268" Properties=species:S:1:pos:R:3 pbc="T T T"
Zn 0.000 0.000 0.000
Zn 1.426 0.000 2.974
Cu 3.847 0.000 2.065
Ni 6.416 0.000 0.864
```

The following is a GGA-PBE calculation of ZnCu3Ni after structural relaxation, from the Alexandria database.

## Properties
* symmetry: No. 12
* ΔE_f: -0.01 eV/atom

The structure in extended XYZ format:
```
10
Lattice="8.117 -1.286 0.000 8.117 1.286 0.000 -2.012 0.000 5.868" Properties=species:S:1:pos:R:3 pbc="T T T"
Zn 1.312 0.000 0.079
Zn 12.909 0.000 5.789
Cu 1.974 0.000 2.576
Cu 2.699 0.000 4.991
Cu 6.285 0.000 3.934
Cu 7.936 0.000 1.933
Cu 11.523 0.000 0.876
Cu 12.247 0.000 3.292
Ni 5.452 0.000 1.589
Ni 8.770 0.000 4.278
```

The following is a GGA-PBE calculation of Zn2Cu12Ni after structural relaxation, from the Alexandria database.

## Properties
* symmetry: No. 125
* ΔE_f: 0.24 eV/atom

The structure in extended XYZ format:
```
30
Lattice="4.825 0.000 0.000 0.000 4.825 0.000 0.000 0.000 17.426" Properties=species:S:1:pos:R:3 pbc="T T T"
Zn 1.206 3.619 3.993
Zn 1.206 3.619 13.433
Zn 3.619 1.206 3.993
Zn 3.619 1.206 13.433
Cu 4.825 0.000 6.985
Cu 0.000 4.825 10.441
Cu 0.000 2.413 6.985
Cu 4.825 2.413 10.441
Cu 0.356 2.769 1.096
Cu 0.356 4.469 16.330
Cu 1.206 1.206 2.834
Cu 1.206 1.206 5.185
Cu 1.206 1.206 12.241
Cu 1.206 1.206 14.592
Cu 2.057 2.769 16.330
Cu 2.057 4.469 1.096
Cu 2.413 4.825 6.985
Cu 2.413 0.000 10.441
Cu 2.413 2.413 6.985
Cu 2.413 2.413 10.441
Cu 2.769 0.356 16.330
Cu 2.769 2.057 1.096
Cu 3.619 3.619 2.834
Cu 3.619 3.619 5.185
Cu 3.619 3.619 12.241
Cu 3.619 3.619 14.592
Cu 4.469 0.356 1.096
Cu 4.469 2.057 16.330
Ni 1.206 3.619 8.713
Ni 3.619 1.206 8.713
```

The following is a GGA-PBE calculation of Zn2CuNi after structural relaxation, from the Alexandria database.

## Properties
* symmetry: No. 122
* ΔE_f: 0.16 eV/atom

The structure in extended XYZ format:
```
8
Lattice="-1.804 1.804 8.603 1.804 -1.804 8.603 1.804 1.804 -8.603" Properties=species:S:1:pos:R:3 pbc="T T T"
Zn 2.705 0.884 -2.151
Zn 0.884 0.902 2.151
Zn -0.902 0.920 6.452
Zn 0.920 0.902 10.753
Cu 1.804 0.000 4.301
Cu 0.000 0.000 8.603
Ni 0.000 0.000 0.000
Ni 0.000 1.804 4.301
```

The following is a GGA-PBE calculation of Zn4Cu15Ni after structural relaxation, from the Alexandria database.

## Properties
* symmetry: No. 123
* ΔE_f: -0.04 eV/atom

The structure in extended XYZ format:
```
20
Lattice="3.630 0.000 0.000 0.000 3.630 0.000 0.000 0.000 18.595" Properties=species:S:1:pos:R:3 pbc="T T T"
Zn 0.000 0.000 1.890
Zn 0.000 0.000 5.661
Zn 0.000 0.000 12.934
Zn 0.000 0.000 16.705
Cu 0.000 1.815 0.000
Cu 0.000 1.815 3.761
Cu 0.000 1.815 7.514
Cu 0.000 1.815 11.081
Cu 0.000 1.815 14.834
Cu 1.815 0.000 0.000
Cu 1.815 0.000 3.761
Cu 1.815 0.000 7.514
Cu 1.815 0.000 11.081
Cu 1.815 0.000 14.834
Cu 1.815 1.815 1.868
Cu 1.815 1.815 5.627
Cu 1.815 1.815 9.298
Cu 1.815 1.815 12.968
Cu 1.815 1.815 16.727
Ni 0.000 0.000 9.298
```

The following is a GGA-PBE calculation of Zn3Cu2Ni4 after structural relaxation, from the Alexandria database.

## Properties
* symmetry: No. 2
* ΔE_f: -0.12 eV/atom

The structure in extended XYZ format:
```
9
Lattice="3.669 0.000 0.000 -1.833 4.017 0.000 -0.015 -2.326 7.297" Properties=species:S:1:pos:R:3 pbc="T T T"
Zn 0.000 0.000 0.000
Zn -0.006 1.674 3.194
Zn 1.827 0.017 4.102
Cu -0.010 0.850 5.687
Cu 1.831 0.841 1.609
Ni -0.006 -0.765 2.429
Ni -0.001 2.430 0.803
Ni 1.822 -0.739 6.493
Ni 1.827 2.455 4.868
```

The following is a GGA-PBE calculation of ZnCu2Ni2 after structural relaxation, from the Alexandria database.

## Properties
* symmetry: No. 127
* ΔE_f: 0.11 eV/atom

The structure in extended XYZ format:
```
10
Lattice="6.774 0.000 0.000 0.000 6.774 0.000 0.000 0.000 2.703" Properties=species:S:1:pos:R:3 pbc="T T T"
Zn 0.000 0.000 0.000
Zn 3.387 3.387 0.000
Cu 0.882 2.505 0.000
Cu 2.505 5.892 0.000
Cu 4.269 0.882 0.000
Cu 5.892 4.269 0.000
Ni 1.129 4.516 1.352
Ni 2.258 1.129 1.352
Ni 4.516 5.645 1.352
Ni 5.645 2.258 1.352
```

The following is a GGA-PBE calculation of Zn2Cu3Ni2 after structural relaxation, from the Alexandria database.

## Properties
* symmetry: No. 2
* ΔE_f: -0.09 eV/atom

The structure in extended XYZ format:
```
7
Lattice="4.451 0.000 0.000 -0.744 4.390 0.000 -0.762 -0.866 4.328" Properties=species:S:1:pos:R:3 pbc="T T T"
Zn 0.418 0.063 1.245
Zn 2.526 3.462 3.082
Cu -0.372 2.195 0.000
Cu 0.354 2.321 2.501
Cu 2.591 1.204 1.827
Ni 1.083 0.211 3.720
Ni 1.861 3.314 0.607
```

The following is a GGA-PBE calculation of Zn2Cu5Ni2 after structural relaxation, from the Alexandria database.

## Properties
* symmetry: No. 1
* ΔE_f: -0.08 eV/atom

The structure in extended XYZ format:
```
9
Lattice="3.617 0.000 0.000 1.804 4.063 0.000 1.788 1.616 7.371" Properties=species:S:1:pos:R:3 pbc="T T T"
Zn 0.000 0.000 0.000
Zn 3.603 4.093 4.126
Cu 1.802 3.245 2.488
Cu 1.804 0.831 1.687
Cu 3.596 3.257 6.562
Cu 3.615 2.437 0.860
Cu 5.410 2.449 4.931
Ni 5.404 4.896 5.753
Ni 3.608 1.637 3.311
```

The following is a GGA-PBE calculation of Zn5Cu2Ni after structural relaxation, from the Alexandria database.

## Properties
* symmetry: No. 139
* ΔE_f: -0.12 eV/atom

The structure in extended XYZ format:
```
8
Lattice="-1.889 1.889 7.347 1.889 -1.889 7.347 1.889 1.889 -7.347" Properties=species:S:1:pos:R:3 pbc="T T T"
Zn 0.000 0.000 0.000
Zn 1.889 0.000 1.853
Zn 1.889 0.000 5.494
Zn 0.000 1.889 1.853
Zn 0.000 1.889 5.494
Cu 0.000 0.000 3.693
Cu 0.000 0.000 11.000
Ni 0.000 0.000 7.347
```

The following is a GGA-PBE calculation of Zn6Cu8Ni after structural relaxation, from the Alexandria database.

## Properties
* symmetry: No. 148
* ΔE_f: -0.04 eV/atom

The structure in extended XYZ format:
```
15
Lattice="3.251 1.877 5.297 -3.251 1.877 5.297 0.000 -3.753 5.297" Properties=species:S:1:pos:R:3 pbc="T T T"
Zn -2.344 -0.583 7.252
Zn -0.667 -2.321 8.640
Zn -1.677 1.738 8.640
Zn 1.677 -1.738 7.252
Zn 0.667 2.321 7.252
Zn 2.344 0.583 8.640
Cu 0.000 0.000 1.259
Cu -0.455 -1.420 5.814
Cu -1.003 1.105 5.814
Cu -1.458 -0.316 10.078
Cu 1.458 0.316 5.814
Cu 1.003 -1.105 10.078
Cu 0.455 1.420 10.078
Cu 0.000 0.000 14.633
Ni 0.000 0.000 7.946
```

The following is a GGA-PBE calculation of Zn4Cu9Ni11 after structural relaxation, from the Alexandria database.

## Properties
* symmetry: No. 65
* ΔE_f: -0.02 eV/atom

The structure in extended XYZ format:
```
24
Lattice="5.935 -9.140 0.000 5.935 9.140 0.000 0.000 0.000 2.609" Properties=species:S:1:pos:R:3 pbc="T T T"
Zn 2.035 1.587 0.000
Zn 2.035 -1.587 0.000
Zn 9.834 1.587 0.000
Zn 9.834 -1.587 0.000
Cu 0.000 0.000 0.000
Cu 4.648 5.091 0.000
Cu 4.666 1.717 0.000
Cu 7.221 5.091 0.000
Cu 4.666 -1.717 0.000
Cu 7.203 1.717 0.000
Cu 4.648 -5.091 0.000
Cu 7.203 -1.717 0.000
Cu 7.221 -5.091 0.000
Ni 3.345 3.385 1.304
Ni 5.935 6.878 1.304
Ni 3.427 0.000 1.304
Ni 5.935 3.415 1.304
Ni 3.345 -3.385 1.304
Ni 5.935 0.000 1.304
Ni 8.524 3.385 1.304
Ni 5.935 -3.415 1.304
Ni 8.442 0.000 1.304
Ni 5.935 -6.878 1.304
Ni 8.524 -3.385 1.304
```

The following is a GGA-PBE calculation of Zn2CuNi after structural relaxation, from the Alexandria database.

## Properties
* symmetry: No. 8
* ΔE_f: -0.13 eV/atom

The structure in extended XYZ format:
```
4
Lattice="4.720 -1.324 0.000 4.720 1.324 0.000 -1.840 0.000 4.033" Properties=species:S:1:pos:R:3 pbc="T T T"
Zn 0.000 0.000 0.000
Zn 1.174 0.000 2.399
Cu 3.712 0.000 1.979
Ni 6.859 0.000 0.373
```

The following is a GGA-PBE calculation of Zn2Cu2Ni after structural relaxation, from the Alexandria database.

## Properties
* symmetry: No. 65
* ΔE_f: -0.06 eV/atom

The structure in extended XYZ format:
```
5
Lattice="1.324 -9.289 0.000 1.324 9.289 0.000 0.000 0.000 2.598" Properties=species:S:1:pos:R:3 pbc="T T T"
Zn 1.324 7.558 0.000
Zn 1.324 -7.558 0.000
Cu 1.324 3.588 1.299
Cu 1.324 -3.588 1.299
Ni 1.324 0.000 1.299
```

The following is a GGA-PBE calculation of Zn2Cu5Ni5 after structural relaxation, from the Alexandria database.

## Properties
* symmetry: No. 12
* ΔE_f: -0.05 eV/atom

The structure in extended XYZ format:
```
12
Lattice="5.399 -1.803 0.000 5.399 1.803 0.000 -3.645 0.000 7.199" Properties=species:S:1:pos:R:3 pbc="T T T"
Zn -0.078 0.000 3.580
Zn 7.230 0.000 3.620
Cu 0.000 0.000 0.000
Cu -1.840 0.000 5.450
Cu 1.794 0.000 1.758
Cu 5.358 0.000 5.442
Cu 8.992 0.000 1.749
Ni 3.597 0.000 0.001
Ni 1.754 0.000 5.420
Ni 3.576 0.000 3.600
Ni 5.399 0.000 1.780
Ni 3.556 0.000 7.198
```

The following is a GGA-PBE calculation of ZnCu4Ni2 after structural relaxation, from the Alexandria database.

## Properties
* symmetry: No. 64
* ΔE_f: 0.12 eV/atom

The structure in extended XYZ format:
```
14
Lattice="2.316 -4.207 0.000 2.316 4.207 0.000 0.000 0.000 8.933" Properties=species:S:1:pos:R:3 pbc="T T T"
Zn 0.000 0.000 0.000
Zn 2.316 0.000 4.466
Cu 1.158 0.360 6.700
Cu 2.316 2.436 7.260
Cu 2.316 1.771 2.793
Cu 1.158 -0.360 2.233
Cu 3.474 0.360 6.700
Cu 2.316 -1.771 6.140
Cu 2.316 -2.436 1.673
Cu 3.474 -0.360 2.233
Ni 2.316 3.017 4.863
Ni 2.316 1.190 0.397
Ni 2.316 -1.190 8.536
Ni 2.316 -3.017 4.070
```

The following is a GGA-PBE calculation of Zr2ZnCu2Ni5 after structural relaxation, from the Alexandria database.

## Properties
* symmetry: No. 127
* ΔE_f: -0.21 eV/atom

The structure in extended XYZ format:
```
20
Lattice="8.710 0.000 0.000 0.000 8.710 0.000 0.000 0.000 3.618" Properties=species:S:1:pos:R:3 pbc="T T T"
Zr 1.557 2.798 0.000
Zr 2.798 7.153 0.000
Zr 5.912 1.557 0.000
Zr 7.153 5.912 0.000
Zn 0.000 0.000 0.000
Zn 4.355 4.355 0.000
Cu 1.029 5.384 0.000
Cu 3.326 1.029 0.000
Cu 5.384 7.682 0.000
Cu 7.682 3.326 0.000
Ni 0.000 4.355 1.809
Ni 0.560 6.932 1.809
Ni 1.778 0.560 1.809
Ni 2.577 4.915 1.809
Ni 3.795 2.577 1.809
Ni 4.355 0.000 1.809
Ni 4.915 6.134 1.809
Ni 6.134 3.795 1.809
Ni 6.932 8.151 1.809
Ni 8.151 1.778 1.809
```

| no. | total DFT energy (no corrections) (eV/atom) |
| --- | --- |
| 1 | -4.1584 |
| 2 | -4.7771 |
| 3 | -4.7716 |
| 4 | -3.2315 |
| 5 | -3.8741 |
| 6 | -3.5972 |
| 7 | -2.9446 |
| 8 | -3.6586 |
| 9 | -4.0210 |
| 10 | -4.0999 |
| 11 | -3.8614 |
| 12 | -3.9254 |
| 13 | -2.6652 |
| 14 | -3.1196 |
| 15 | -4.4194 |
| 16 | -3.2403 |
| 17 | -3.3617 |
| 18 | -4.3763 |
| 19 | -4.0586 |
| 20 | -5.7580 |